Record 1
This record from the Alexandria database describes a geometry-optimized TiAgC2 structure. The functional is PBE.

Results
Its formation enthalpy at 0 K is 1.38 eV per atom. For the energy above the most stable polymorph in this dataset, the calculation gives 0.91 eV per formula unit. The total moment is 0.00 μB per formula unit. The value obtained for the raw total energy is -94.66 eV per cell.

```
data_TiAgC2
_chemical_formula_sum 'Ti4 Ag4 C8'
_symmetry_space_group_name_H-M 'F m -3 m'
_symmetry_Int_Tables_number 225
_symmetry_space_group_name_Hall '-F 4 2 3'
_cell_length_a 5.587
_cell_length_b 5.587
_cell_length_c 5.587
_cell_angle_alpha 90.00
_cell_angle_beta 90.00
_cell_angle_gamma 90.00
loop_
_atom_site_label
_atom_site_type_symbol
_atom_site_fract_x
_atom_site_fract_y
_atom_site_fract_z
_atom_site_occupancy
Ti1 Ti 0.000 0.000 0.000 1
Ag1 Ag 0.000 0.000 0.500 1
C1 C 0.250 0.250 0.250 1
```

Record 2
This record from the Alexandria database describes a geometry-optimized SrTa2Cd structure. The functional is PBE.

Results
Its formation enthalpy at 0 K is 0.74 eV per atom. The total moment is 0.00 μB per formula unit. The value obtained for the raw total energy is -23.36 eV per cell.

```
data_SrTa2Cd
_chemical_formula_sum 'Sr1 Ta2 Cd1'
_symmetry_space_group_name_H-M 'P 1 2/m 1'
_symmetry_Int_Tables_number 10
_cell_length_a 3.048
_cell_length_b 5.499
_cell_length_c 5.615
_cell_angle_alpha 90.00
_cell_angle_beta 99.09
_cell_angle_gamma 90.00
loop_
_symmetry_equiv_pos_as_xyz
'x,y,z'
'-x,-y,-z'
'-x,y,-z'
'x,-y,z'
loop_
_atom_site_label
_atom_site_type_symbol
_atom_site_fract_x
_atom_site_fract_y
_atom_site_fract_z
_atom_site_occupancy
Sr1 Sr 0.000 0.000 0.000 1
Ta1 Ta 0.332 0.500 0.717 1
Cd1 Cd 0.500 0.000 0.500 1
```

Record 3
This record from the Alexandria database describes a geometry-optimized In2BrO structure. The functional is PBE.

Results
For the energy above the most stable polymorph in this dataset, the calculation gives 0.00 eV per formula unit. The total moment is 0.00 μB per formula unit. The value obtained for the raw total energy is -58.41 eV per cell. The calculation puts the formation energy (no corrections) at -0.6238 eV per atom.

```
data_In2BrO
_chemical_formula_sum 'In8 Br4 O4'
_symmetry_space_group_name_H-M 'I -4 2 d'
_symmetry_Int_Tables_number 122
_symmetry_space_group_name_Hall 'I -4 2bw'
_cell_length_a 7.145
_cell_length_b 7.145
_cell_length_c 7.842
_cell_angle_alpha 90.00
_cell_angle_beta 90.00
_cell_angle_gamma 90.00
loop_
_atom_site_label
_atom_site_type_symbol
_atom_site_fract_x
_atom_site_fract_y
_atom_site_fract_z
_atom_site_occupancy
In1 In 0.155 0.750 0.125 1
Br1 Br 0.000 0.000 0.500 1
O1 O 0.000 0.000 0.000 1
```

Record 4
This record from the Alexandria database describes a geometry-optimized BaFe3S structure. The functional is PBE.

Results
For the energy above the most stable polymorph in this dataset, the calculation gives 10.16 eV per formula unit. The total moment is 7.37 μB per formula unit. The value obtained for the raw total energy is -19.57 eV per cell. The calculation puts the formation energy (no corrections) at 2.3732 eV per atom.

```
data_BaFe3S
_chemical_formula_sum 'Ba1 Fe3 S1'
_symmetry_space_group_name_H-M 'P m -3 m'
_symmetry_Int_Tables_number 221
_symmetry_space_group_name_Hall '-P 4 2 3'
_cell_length_a 4.923
_cell_length_b 4.923
_cell_length_c 4.923
_cell_angle_alpha 90.00
_cell_angle_beta 90.00
_cell_angle_gamma 90.00
loop_
_atom_site_label
_atom_site_type_symbol
_atom_site_fract_x
_atom_site_fract_y
_atom_site_fract_z
_atom_site_occupancy
Ba1 Ba 0.000 0.000 0.000 1
Fe1 Fe 0.000 0.000 0.500 1
S1 S 0.500 0.500 0.500 1
```

Record 5
This record from the Alexandria database describes a geometry-optimized IrPt2Rh5 structure. The functional is PBE.

Results
Its formation enthalpy at 0 K is 0.00 eV per atom. For the energy above the most stable polymorph in this dataset, the calculation gives 0.28 eV per formula unit. The total moment is 0.00 μB per formula unit. The value obtained for the raw total energy is -115.33 eV per cell.

```
data_IrPt2Rh5
_chemical_formula_sum 'Ir2 Pt4 Rh10'
_symmetry_space_group_name_H-M 'P b a m'
_symmetry_Int_Tables_number 55
_cell_length_a 5.497
_cell_length_b 10.996
_cell_length_c 3.861
_cell_angle_alpha 90.00
_cell_angle_beta 90.00
_cell_angle_gamma 90.00
loop_
_symmetry_equiv_pos_as_xyz
'x,y,z'
'-x,-y,-z'
'-x,-y,z'
'x,y,-z'
'x+1/2,-y+1/2,-z'
'-x+1/2,y+1/2,z'
'-x+1/2,y+1/2,-z'
'x+1/2,-y+1/2,z'
loop_
_atom_site_label
_atom_site_type_symbol
_atom_site_fract_x
_atom_site_fract_y
_atom_site_fract_z
_atom_site_occupancy
Ir1 Ir 0.000 0.000 0.000 1
Pt1 Pt 0.250 0.125 0.500 1
Rh1 Rh 0.000 0.500 0.000 1
Rh2 Rh 0.001 0.752 0.000 1
Rh3 Rh 0.250 0.376 0.500 1
```

Record 6
This record from the Alexandria database describes a geometry-optimized Er7Ag2Sb2 structure. The functional is PBE.

Results
The total moment is 0.00 μB per formula unit. The value obtained for the raw total energy is -95.81 eV per cell. The calculation puts the formation energy (no corrections) at -0.1834 eV per atom.

```
data_Er7Ag2Sb2
_chemical_formula_sum 'Er14 Ag4 Sb4'
_symmetry_space_group_name_H-M 'C m m m'
_symmetry_Int_Tables_number 65
_symmetry_space_group_name_Hall '-C 2 2'
_cell_length_a 8.768
_cell_length_b 10.840
_cell_length_c 6.968
_cell_angle_alpha 90.00
_cell_angle_beta 90.00
_cell_angle_gamma 90.00
loop_
_atom_site_label
_atom_site_type_symbol
_atom_site_fract_x
_atom_site_fract_y
_atom_site_fract_z
_atom_site_occupancy
Er1 Er 0.000 0.000 0.000 1
Er2 Er 0.000 0.500 0.245 1
Er3 Er 0.250 0.250 0.260 1
Ag1 Ag 0.000 0.280 0.000 1
Sb1 Sb 0.200 0.000 0.500 1
```

Record 7
This record from the Alexandria database describes a geometry-optimized LaCo2N structure. The functional is PBE.

Results
The total moment is 0.00 μB per formula unit. The value obtained for the raw total energy is -112.39 eV per cell. The calculation puts the formation energy (no corrections) at -0.1580 eV per atom.

```
data_LaCo2N
_chemical_formula_sum 'La4 Co8 N4'
_symmetry_space_group_name_H-M 'I -4 2 d'
_symmetry_Int_Tables_number 122
_symmetry_space_group_name_Hall 'I -4 2bw'
_cell_length_a 4.485
_cell_length_b 4.485
_cell_length_c 12.274
_cell_angle_alpha 90.00
_cell_angle_beta 90.00
_cell_angle_gamma 90.00
loop_
_atom_site_label
_atom_site_type_symbol
_atom_site_fract_x
_atom_site_fract_y
_atom_site_fract_z
_atom_site_occupancy
La1 La 0.000 0.000 0.000 1
Co1 Co 0.041 0.250 0.625 1
N1 N 0.000 0.000 0.500 1
```

Record 8
This record from the Alexandria database describes a geometry-optimized Ag3PPd structure. The functional is PBE.

Results
Its formation enthalpy at 0 K is 0.35 eV per atom. For the energy above the most stable polymorph in this dataset, the calculation gives 0.00 eV per formula unit. The total moment is 0.00 μB per formula unit. The value obtained for the raw total energy is -17.42 eV per cell.

```
data_Ag3PPd
_chemical_formula_sum 'Ag3 P1 Pd1'
_symmetry_space_group_name_H-M 'P m -3 m'
_symmetry_Int_Tables_number 221
_symmetry_space_group_name_Hall '-P 4 2 3'
_cell_length_a 4.670
_cell_length_b 4.670
_cell_length_c 4.670
_cell_angle_alpha 90.00
_cell_angle_beta 90.00
_cell_angle_gamma 90.00
loop_
_atom_site_label
_atom_site_type_symbol
_atom_site_fract_x
_atom_site_fract_y
_atom_site_fract_z
_atom_site_occupancy
Ag1 Ag 0.000 0.000 0.500 1
P1 P 0.000 0.000 0.000 1
Pd1 Pd 0.500 0.500 0.500 1
```

Record 9
This record from the Alexandria database describes a geometry-optimized Fe3Co structure. The functional is PBE.

Results
Its formation enthalpy at 0 K is 0.09 eV per atom. The total moment is 9.22 μB per formula unit. The value obtained for the raw total energy is -64.23 eV per cell.

```
data_Fe3Co
_chemical_formula_sum 'Fe6 Co2'
_symmetry_space_group_name_H-M 'C m m m'
_symmetry_Int_Tables_number 65
_symmetry_space_group_name_Hall '-C 2 2'
_cell_length_a 4.868
_cell_length_b 7.784
_cell_length_c 2.462
_cell_angle_alpha 90.00
_cell_angle_beta 90.00
_cell_angle_gamma 90.00
loop_
_atom_site_label
_atom_site_type_symbol
_atom_site_fract_x
_atom_site_fract_y
_atom_site_fract_z
_atom_site_occupancy
Fe1 Fe 0.000 0.000 0.000 1
Fe2 Fe 0.250 0.250 0.500 1
Co1 Co 0.000 0.500 0.000 1
```

Record 10
This record from the Alexandria database describes a geometry-optimized NaTlHg4Pd2 structure. The functional is PBE.

Results
Its formation enthalpy at 0 K is 0.00 eV per atom. The total moment is 0.00 μB per formula unit. The value obtained for the raw total energy is -15.27 eV per cell.

```
data_NaTlHg4Pd2
_chemical_formula_sum 'Na1 Tl1 Hg4 Pd2'
_symmetry_space_group_name_H-M 'P 4/m m m'
_symmetry_Int_Tables_number 123
_symmetry_space_group_name_Hall '-P 4 2'
_cell_length_a 5.437
_cell_length_b 5.437
_cell_length_c 6.608
_cell_angle_alpha 90.00
_cell_angle_beta 90.00
_cell_angle_gamma 90.00
loop_
_atom_site_label
_atom_site_type_symbol
_atom_site_fract_x
_atom_site_fract_y
_atom_site_fract_z
_atom_site_occupancy
Na1 Na 0.000 0.000 0.000 1
Tl1 Tl 0.000 0.000 0.500 1
Hg1 Hg 0.000 0.500 0.242 1
Pd1 Pd 0.500 0.500 0.212 1
```

The highest total moment belongs to which entry?
Fe3Co

Which of these has the highest total moment?
Fe3Co